1.
This record from the Alexandria database describes a geometry-optimized BaLiSiAg2 structure. The functional is GGA-PBE.

```
BaLiSiAg2
1.0
4.989 0.000 0.000
0.000 4.989 0.000
0.000 0.000 4.994
Ba Li Si Ag
1 1 1 2
Direct
0.000 0.000 0.000 Ba
0.500 0.500 0.000 Li
0.500 0.500 0.500 Si
0.000 0.500 0.500 Ag
0.500 0.000 0.500 Ag
```

Properties
Space-group type   No. 123
Crystal system   tetragonal
Total magnetic moment   0.0 μB/cell
Formation energy without anion corrections   -0.135 eV/atom

2.
This record from the Alexandria database describes a geometry-optimized NaCaAg2Cl6 structure. The functional is GGA-PBE.

```
NaCaAg2Cl6
1.0
6.844 0.000 0.000
3.410 5.934 0.000
3.413 1.951 6.248
Na Ca Ag Cl
1 1 2 6
Direct
0.000 0.000 0.000 Na
0.493 0.495 0.518 Ca
0.302 0.304 0.091 Ag
0.806 0.807 0.582 Ag
0.076 0.428 0.815 Cl
0.194 0.915 0.319 Cl
0.429 0.683 0.813 Cl
0.571 0.197 0.316 Cl
0.681 0.077 0.813 Cl
0.914 0.573 0.319 Cl
```

Properties
Space-group type   No. 1
Crystal system   triclinic
Total magnetic moment   0.0 μB/cell
Formation energy without anion corrections   -1.267 eV/atom

3.
This record from the Alexandria database describes a geometry-optimized RbYZn3 structure. The functional is GGA-PBE.

```
RbYZn3
1.0
5.756 0.000 0.000
0.000 5.756 0.000
0.000 0.000 5.756
Rb Y Zn
1 1 3
Direct
0.000 0.000 0.000 Rb
0.500 0.500 0.500 Y
0.000 0.500 0.500 Zn
0.500 0.000 0.500 Zn
0.500 0.500 0.000 Zn
```

Properties
Space-group type   No. 221
Crystal system   cubic
Total magnetic moment   0.0 μB/cell
Formation energy from the elements   2.113 eV/f.u.

4.
This record from the Alexandria database describes a geometry-optimized Ta2ZnAs structure. The functional is GGA-PBE.

```
Ta2ZnAs
1.0
6.404 0.000 0.000
0.000 6.404 0.000
0.000 0.000 6.404
Ta Zn As
8 4 4
Direct
0.250 0.250 0.250 Ta
0.250 0.250 0.750 Ta
0.250 0.750 0.250 Ta
0.250 0.750 0.750 Ta
0.750 0.250 0.250 Ta
0.750 0.250 0.750 Ta
0.750 0.750 0.250 Ta
0.750 0.750 0.750 Ta
0.000 0.000 0.000 Zn
0.000 0.500 0.500 Zn
0.500 0.000 0.500 Zn
0.500 0.500 0.000 Zn
0.000 0.000 0.500 As
0.000 0.500 0.000 As
0.500 0.000 0.000 As
0.500 0.500 0.500 As
```

Properties
Space-group type   No. 225
Crystal system   cubic
Total magnetic moment   0.0 μB/cell
Formation energy from the elements   0.578 eV/f.u.

5.
This record from the Alexandria database describes a geometry-optimized LaW4Cl structure. The functional is GGA-PBE.

```
LaW4Cl
1.0
0.000 3.926 3.926
3.926 0.000 3.926
3.926 3.926 0.000
La W Cl
1 4 1
Direct
0.000 0.000 0.000 La
0.128 0.624 0.624 W
0.624 0.128 0.624 W
0.624 0.624 0.128 W
0.624 0.624 0.624 W
0.250 0.250 0.250 Cl
```

Properties
Space-group type   No. 216
Crystal system   cubic
Total magnetic moment   0.0 μB/cell
Formation energy without anion corrections   0.929 eV/atom

6.
This record from the Alexandria database describes a geometry-optimized Li2FeAs structure. The functional is GGA-PBE.

```
Li2FeAs
1.0
2.972 0.000 0.000
-1.486 2.574 0.000
0.000 0.000 25.891
Li Fe As
6 3 3
Direct
0.000 0.000 0.000 Li
0.000 0.000 0.230 Li
0.333 0.667 0.667 Li
0.333 0.667 0.897 Li
0.667 0.333 0.333 Li
0.667 0.333 0.564 Li
0.000 0.000 0.480 Fe
0.333 0.667 0.147 Fe
0.667 0.333 0.813 Fe
0.000 0.000 0.751 As
0.333 0.667 0.417 As
0.667 0.333 0.084 As
```

Properties
Space-group type   No. 160
Crystal system   trigonal
Total magnetic moment   5.7 μB/cell
Formation energy from the elements   0.152 eV/f.u.

7.
This record from the Alexandria database describes a geometry-optimized CrSbPCl2 structure. The functional is GGA-PBE.

```
CrSbPCl2
1.0
4.609 0.000 0.000
0.000 4.609 0.000
0.000 0.000 5.112
Cr Sb P Cl
1 1 1 2
Direct
0.000 0.000 0.000 Cr
0.500 0.500 0.500 Sb
0.000 0.000 0.500 P
0.000 0.500 0.000 Cl
0.500 0.000 0.000 Cl
```

Properties
Space-group type   No. 123
Crystal system   tetragonal
Total magnetic moment   3.6 μB/cell
Formation energy without anion corrections   -0.010 eV/atom

8.
This record from the Alexandria database describes a geometry-optimized BaCeEuZrO6 structure. The functional is GGA-PBE.

```
BaCeEuZrO6
1.0
0.000 4.338 4.338
4.338 0.000 4.338
4.338 4.338 0.000
Ba Ce Eu Zr O
1 1 1 1 6
Direct
0.000 0.000 0.000 Ba
0.250 0.250 0.250 Ce
0.500 0.500 0.500 Eu
0.750 0.750 0.750 Zr
0.507 0.507 0.993 O
0.507 0.993 0.507 O
0.507 0.993 0.993 O
0.993 0.507 0.507 O
0.993 0.507 0.993 O
0.993 0.993 0.507 O
```

Properties
Space-group type   No. 216
Crystal system   cubic
Total magnetic moment   7.1 μB/cell
Formation energy without anion corrections   -3.100 eV/atom

9.
This record from the Alexandria database describes a geometry-optimized CsZrIn structure. The functional is GGA-PBE.

```
CsZrIn
1.0
9.857 0.000 0.000
0.000 5.109 0.000
0.000 0.000 8.610
Cs Zr In
4 4 4
Direct
0.056 0.250 0.132 Cs
0.444 0.750 0.632 Cs
0.556 0.250 0.368 Cs
0.944 0.750 0.868 Cs
0.095 0.750 0.459 Zr
0.405 0.250 0.959 Zr
0.595 0.750 0.041 Zr
0.905 0.250 0.541 Zr
0.177 0.250 0.670 In
0.323 0.750 0.170 In
0.677 0.250 0.830 In
0.823 0.750 0.330 In
```

Properties
Space-group type   No. 62
Crystal system   orthorhombic
Total magnetic moment   0.0 μB/cell
Formation energy from the elements   1.413 eV/f.u.

10.
This record from the Alexandria database describes a geometry-optimized Au3C structure. The functional is GGA-PBE.

```
Au3C
1.0
5.937 0.000 0.000
0.000 7.692 0.000
0.000 0.000 6.199
Au C
12 4
Direct
0.031 0.064 0.227 Au
0.031 0.436 0.227 Au
0.218 0.250 0.703 Au
0.282 0.750 0.203 Au
0.469 0.564 0.727 Au
0.469 0.936 0.727 Au
0.531 0.064 0.273 Au
0.531 0.436 0.273 Au
0.718 0.250 0.797 Au
0.782 0.750 0.297 Au
0.969 0.564 0.773 Au
0.969 0.936 0.773 Au
0.228 0.750 0.866 C
0.272 0.250 0.366 C
0.728 0.750 0.634 C
0.772 0.250 0.134 C
```

Properties
Space-group type   No. 62
Crystal system   orthorhombic
Total magnetic moment   0.0 μB/cell
Formation energy from the elements   3.909 eV/f.u.

11.
This record from the Alexandria database describes a geometry-optimized AcTb6Sm structure. The functional is GGA-PBE.

```
AcTb6Sm
1.0
5.121 0.000 0.000
0.000 5.121 0.000
0.000 0.000 10.244
Ac Tb Sm
1 6 1
Direct
0.000 0.000 0.000 Ac
0.000 0.500 0.257 Tb
0.000 0.500 0.743 Tb
0.500 0.000 0.257 Tb
0.500 0.000 0.743 Tb
0.500 0.500 0.000 Tb
0.500 0.500 0.500 Tb
0.000 0.000 0.500 Sm
```

Properties
Space-group type   No. 123
Crystal system   tetragonal
Total magnetic moment   0.0 μB/cell
Formation energy from the elements   0.293 eV/f.u.

12.
This record from the Alexandria database describes a geometry-optimized Sc2Zn2Se structure. The functional is GGA-PBE.

```
Sc2Zn2Se
1.0
6.997 0.000 0.000
0.000 6.997 0.000
0.000 0.000 4.314
Sc Zn Se
4 4 2
Direct
0.167 0.333 0.000 Sc
0.333 0.833 0.000 Sc
0.667 0.167 0.000 Sc
0.833 0.667 0.000 Sc
0.129 0.629 0.500 Zn
0.371 0.129 0.500 Zn
0.629 0.871 0.500 Zn
0.871 0.371 0.500 Zn
0.000 0.000 0.000 Se
0.500 0.500 0.000 Se
```

Properties
Space-group type   No. 127
Crystal system   tetragonal
Total magnetic moment   0.0 μB/cell
Formation energy without anion corrections   -0.558 eV/atom